Density functional theory data (PBE) for an optimized crystal structure of ZrTe2Mo.

Geometry as POSCAR:
```
ZrTe2Mo
1.0
-4.351 -2.472 -1.869
1.425 -4.951 -1.410
0.794 2.692 4.545
Te Zr Mo
2 1 1
Cartesian
0.000 0.000 0.000
0.378 -2.986 0.748
-1.463 -3.712 -1.640
-2.510 -1.746 0.518
```

Values from the calculation:
Density of states at the Fermi level (states/eV/f.u.): 4.08
SG: I-4m2, No. 119
E above lowest polymorph (meV/atom): 495
Spin magnetization (μB per formula unit): 0.00
Energy relative to the elements, uncorrected (eV per atom): 0.1789
DFT total energy (eV/cell): -24.947

Density functional theory data (PBE) for an optimized crystal structure of CrCdPb2.

Geometry as POSCAR:
```
CrCdPb2
1.0
-7.518 3.795 6.915
-9.219 1.205 5.684
-7.108 0.757 8.225
Pb Cd Cr
2 1 1
Cartesian
-0.317 0.077 0.277
-5.782 1.396 5.049
-11.666 2.816 10.188
-18.003 4.346 15.722
```

Values from the calculation:
Density of states at the Fermi level (states/eV/f.u.): 2.22
SG: R3m, No. 160
Spin magnetization (μB per formula unit): 4.06
DFT total energy (eV/cell): -16.462

Density functional theory data (PBE) for an optimized crystal structure of FeCo2HW.

Geometry as POSCAR:
```
FeCo2HW
1.0
-3.339 -1.086 0.604
0.530 -2.811 -2.123
1.222 -2.067 3.043
Fe Co H W
1 2 1 1
Cartesian
-0.793 -2.982 0.762
0.265 -1.406 -1.061
-1.669 -0.543 0.302
0.000 0.000 0.000
0.611 -1.034 1.521
```

Values from the calculation:
Density of states at the Fermi level (states/eV/f.u.): 3.80
SG: P4/mmm, No. 123
E above lowest polymorph (meV/atom): 104
Spin magnetization (μB per formula unit): 0.94
DFT total energy (eV/cell): -38.582

Density functional theory data (PBE) for an optimized crystal structure of SrBrNO2.

Geometry as POSCAR:
```
SrBrNO2
1.0
4.228 0.000 0.000
0.000 4.228 0.000
0.000 0.000 3.820
Sr O Br N
1 2 1 1
Cartesian
2.114 2.114 1.910
0.000 2.114 0.000
2.114 0.000 0.000
0.000 0.000 0.000
0.000 0.000 1.910
```

Values from the calculation:
Density of states at the Fermi level (states/eV/f.u.): 0.67
SG: P4/mmm, No. 123
Spin magnetization (μB per formula unit): 0.00
Energy relative to the elements, uncorrected (eV per atom): -0.1186
DFT total energy (eV/cell): -22.190

Density functional theory data (PBE) for an optimized crystal structure of SmBe3Co.

Geometry as POSCAR:
```
SmBe3Co
1.0
-0.183 -4.105 0.296
4.089 -0.215 -0.451
0.465 0.274 4.084
Be Sm Co
3 1 1
Cartesian
-0.091 -2.053 0.148
2.045 -0.107 -0.226
0.233 0.137 2.042
2.186 -2.023 1.965
0.000 0.000 0.000
```

Values from the calculation:
Density of states at the Fermi level (states/eV/f.u.): 1.93
SG: Pm-3m, No. 221
Spin magnetization (μB per formula unit): 0.00
DFT total energy (eV/cell): -23.399

Density functional theory data (PBE) for an optimized crystal structure of KCuP2S.

Geometry as POSCAR:
```
KCuP2S
1.0
-0.558 -4.117 3.431
-1.960 -3.053 -3.983
4.960 -1.652 -1.175
K P S Cu
1 2 1 1
Cartesian
0.000 0.000 0.000
-0.980 -1.527 -1.992
-0.279 -2.059 1.715
2.480 -0.826 -0.588
1.221 -4.411 -0.864
```

Values from the calculation:
Density of states at the Fermi level (states/eV/f.u.): 4.94
SG: P4/mmm, No. 123
E above lowest polymorph (meV/atom): 1656
Spin magnetization (μB per formula unit): 1.33
Energy relative to the elements, uncorrected (eV per atom): 1.9975
DFT total energy (eV/cell): -10.153

Density functional theory data (PBE) for an optimized crystal structure of La2Ag2O5.

Geometry as POSCAR:
```
La2Ag2O5
1.0
-3.019 -1.367 2.694
3.213 -3.874 1.634
1.956 6.592 2.152
Ag La O
2 2 5
Cartesian
2.702 -1.871 2.078
-0.551 3.222 4.403
2.466 1.941 3.748
-0.315 -0.590 2.733
1.971 0.121 2.270
0.179 1.229 4.210
0.987 4.127 3.201
1.163 -2.777 3.279
0.000 0.000 0.000
```

Values from the calculation:
Density of states at the Fermi level (states/eV/f.u.): 3.96
SG: C2/m, No. 12
E above lowest polymorph (meV/atom): 0
Spin magnetization (μB per formula unit): 0.00
Energy relative to the elements, uncorrected (eV per atom): -1.9133
DFT total energy (eV/cell): -57.568

Density functional theory data (PBE) for an optimized crystal structure of Ba2YRh.

Geometry as POSCAR:
```
Ba2YRh
1.0
-1.671 3.125 1.344
-3.396 -1.484 -0.797
-0.348 -4.130 9.173
Y Ba Rh
1 2 1
Cartesian
-2.794 -2.277 7.153
-0.151 -1.789 3.973
-0.023 -0.276 0.614
-2.620 -0.212 2.567
```

Values from the calculation:
Density of states at the Fermi level (states/eV/f.u.): 4.11
SG: Cmmm, No. 65
E above lowest polymorph (meV/atom): 410
Spin magnetization (μB per formula unit): 1.51
DFT total energy (eV/cell): -16.996

Density functional theory data (PBE) for an optimized crystal structure of SmErZnHg.

Geometry as POSCAR:
```
SmErZnHg
1.0
-3.523 0.655 0.506
-0.569 -3.522 0.603
1.249 1.053 7.336
Zn Hg Sm Er
1 1 1 1
Cartesian
0.464 0.391 2.725
1.051 0.886 6.172
-1.890 -1.303 1.466
-1.308 -0.811 4.889
```

Values from the calculation:
Density of states at the Fermi level (states/eV/f.u.): 3.82
SG: P4mm, No. 99
E above lowest polymorph (meV/atom): 0
Spin magnetization (μB per formula unit): 0.00
DFT total energy (eV/cell): -12.488

Density functional theory data (PBE) for an optimized crystal structure of Ge2Au2Br.

Geometry as POSCAR:
```
Ge2Au2Br
1.0
-0.358 3.500 3.202
-0.161 -3.218 3.500
4.878 0.310 3.742
Au Ge Br
2 2 1
Cartesian
1.142 0.187 3.458
3.216 0.405 6.986
2.130 1.976 5.147
2.229 -1.384 5.297
0.000 0.000 0.000
```

Values from the calculation:
Density of states at the Fermi level (states/eV/f.u.): 3.55
SG: I4/mmm, No. 139
E above lowest polymorph (meV/atom): 24
Spin magnetization (μB per formula unit): 0.00
Energy relative to the elements, uncorrected (eV per atom): 0.1045
DFT total energy (eV/cell): -16.940

Density functional theory data (PBE) for an optimized crystal structure of CaTl2In.

Geometry as POSCAR:
```
CaTl2In
1.0
-0.876 0.860 5.325
-2.289 -2.998 0.108
4.398 -3.312 1.259
Tl Ca In
2 1 1
Cartesian
-0.472 -1.317 2.939
-1.762 -2.804 0.163
1.605 -2.977 0.745
0.628 -4.504 3.635
```

Values from the calculation:
Density of states at the Fermi level (states/eV/f.u.): 1.73
SG: Pmm2, No. 25
Spin magnetization (μB per formula unit): 0.00
DFT total energy (eV/cell): -10.367

Density functional theory data (PBE) for an optimized crystal structure of CaBeBPCF.

Geometry as POSCAR:
```
CaBeBPCF
1.0
3.850 -0.004 0.002
0.505 4.636 -0.006
1.122 2.093 5.197
P B C F Ca Be
1 1 1 1 1 1
Cartesian
2.516 4.508 0.580
2.894 3.592 5.043
2.549 4.859 4.526
4.291 2.771 2.181
4.494 5.266 3.012
0.561 3.361 0.731
```

Values from the calculation:
Density of states at the Fermi level (states/eV/f.u.): 0.65
SG: P1, No. 1
E above lowest polymorph (meV/atom): 71
Spin magnetization (μB per formula unit): 0.00
Energy relative to the elements, uncorrected (eV per atom): -0.7722
DFT total energy (eV/cell): -33.544

Density functional theory data (PBE) for an optimized crystal structure of Pm5Er2Sn12.

Geometry as POSCAR:
```
Pm5Er2Sn12
1.0
-6.569 -0.485 -2.764
0.046 -0.382 9.189
0.120 10.052 -2.051
Pm Sn Er
5 12 2
Cartesian
0.060 5.026 -1.025
-2.285 1.698 5.133
-1.555 7.046 2.459
-4.118 7.487 -0.759
-4.848 2.139 1.915
-5.666 4.529 -0.455
-3.566 2.490 -1.195
-2.838 6.695 5.568
-2.895 4.733 0.712
0.030 9.267 3.842
-6.051 1.087 4.960
-3.913 8.975 2.183
-0.737 4.657 4.828
-3.509 4.452 3.662
-6.433 -0.081 0.532
-2.490 0.210 2.191
-0.352 8.098 -0.586
-4.819 -0.356 -2.028
-1.750 -0.129 -0.736
```

Values from the calculation:
Density of states at the Fermi level (states/eV/f.u.): 8.97
SG: C2/m, No. 12
Spin magnetization (μB per formula unit): 0.00
DFT total energy (eV/cell): -87.770

Density functional theory data (PBE) for an optimized crystal structure of CeScCoRu.

Geometry as POSCAR:
```
CeScCoRu
1.0
4.671 0.000 0.000
2.335 4.045 0.000
2.335 1.348 3.814
Ru Co Sc Ce
1 1 1 1
Cartesian
4.671 2.697 1.907
0.000 0.000 0.000
2.335 1.348 0.953
7.006 4.045 2.860
```

Values from the calculation:
Density of states at the Fermi level (states/eV/f.u.): 2.65
SG: F-43m, No. 216
Spin magnetization (μB per formula unit): 0.41
DFT total energy (eV/cell): -29.926

Density functional theory data (PBE) for an optimized crystal structure of CuSi.

Geometry as POSCAR:
```
CuSi
1.0
2.617 0.000 -0.007
0.000 2.701 0.000
-0.553 0.000 7.681
Si Cu
2 2
Cartesian
0.950 0.000 4.222
1.227 1.350 0.381
2.132 0.000 6.327
2.408 1.350 2.486
```

Values from the calculation:
Density of states at the Fermi level (states/eV/f.u.): 0.45
SG: Cm, No. 8
Spin magnetization (μB per formula unit): 0.00
Energy relative to the elements, uncorrected (eV per atom): 0.1066
DFT total energy (eV/cell): -18.612

Density functional theory data (PBE) for an optimized crystal structure of CsPdSe.

Geometry as POSCAR:
```
CsPdSe
1.0
-0.237 -2.838 2.419
3.511 -0.986 -0.814
0.460 5.620 3.753
Se Cs Pd
1 1 1
Cartesian
2.603 -0.205 2.901
0.022 0.039 0.048
1.109 1.961 2.410
```

Values from the calculation:
Density of states at the Fermi level (states/eV/f.u.): 1.83
SG: I4mm, No. 107
Spin magnetization (μB per formula unit): 0.00
Energy relative to the elements, uncorrected (eV per atom): -0.4449
DFT total energy (eV/cell): -10.866

Density functional theory data (PBE) for an optimized crystal structure of CsGaOs2O8.

Geometry as POSCAR:
```
CsGaOs2O8
1.0
5.385 0.000 0.000
-2.693 4.664 0.000
0.000 0.000 8.942
O Cs Ga Os
8 1 1 2
Cartesian
0.000 3.109 7.979
0.976 1.280 3.289
3.789 0.205 3.289
3.313 3.179 3.289
-0.621 1.485 5.653
2.693 1.555 0.963
-1.096 4.459 5.653
1.717 3.383 5.653
0.000 0.000 0.000
0.000 0.000 4.471
2.693 1.555 2.740
0.000 3.109 6.202
```

Values from the calculation:
Density of states at the Fermi level (states/eV/f.u.): 3.01
SG: P-3, No. 147
Spin magnetization (μB per formula unit): 4.02
Energy relative to the elements, uncorrected (eV per atom): -1.1195
DFT total energy (eV/cell): -79.440

Density functional theory data (PBE) for an optimized crystal structure of AcCeEuGa.

Geometry as POSCAR:
```
AcCeEuGa
1.0
-0.289 -3.190 -4.573
-1.662 -5.315 0.404
-4.973 -1.532 -2.025
Ga Eu Ac Ce
1 1 1 1
Cartesian
-1.731 -2.509 -1.549
0.000 0.000 0.000
-5.193 -7.527 -4.646
-3.462 -5.018 -3.097
```

Values from the calculation:
Density of states at the Fermi level (states/eV/f.u.): 8.48
SG: F-43m, No. 216
Spin magnetization (μB per formula unit): 10.04
DFT total energy (eV/cell): -23.041

Density functional theory data (PBE) for an optimized crystal structure of Sr2Ag3OsO6.

Geometry as POSCAR:
```
Sr2Ag3OsO6
1.0
6.108 -0.183 0.987
-3.211 5.200 0.987
0.005 0.009 6.675
Sr Ag O Os
2 3 6 1
Cartesian
-0.108 3.407 0.987
3.005 1.610 0.987
4.859 0.544 4.324
1.451 2.513 4.324
-1.957 4.481 4.324
4.629 0.184 6.376
-2.154 4.101 6.376
0.973 1.684 6.193
5.056 0.924 2.273
-1.726 4.842 2.273
1.930 3.341 2.455
0.000 0.000 0.000
```

Values from the calculation:
Density of states at the Fermi level (states/eV/f.u.): 3.83
SG: C2/m, No. 12
Spin magnetization (μB per formula unit): 2.79
Energy relative to the elements, uncorrected (eV per atom): -1.3123
DFT total energy (eV/cell): -68.644

Density functional theory data (PBE) for an optimized crystal structure of BaZrMo.

Geometry as POSCAR:
```
BaZrMo
1.0
-3.449 2.249 2.602
-3.037 -2.602 2.781
0.359 0.209 4.853
Ba Zr Mo
1 1 1
Cartesian
-4.596 -0.108 7.677
-3.064 -0.072 5.118
0.000 0.000 0.000
```

Values from the calculation:
Density of states at the Fermi level (states/eV/f.u.): 5.32
SG: F-43m, No. 216
E above lowest polymorph (meV/atom): 1424
Spin magnetization (μB per formula unit): 1.60
DFT total energy (eV/cell): -15.182